Record 1
Density functional theory data (GGA-PBE) for a relaxed Zn2GeAu crystal.

Output
ΔH_f (0 K) ... 0.01 eV per atom
Mass density ... 8.8 Mg/m³
Crystal system ... trigonal
V ... 75 Å³/cell
Space-group type ... R3m (160)
Calculated total energy ... -2.599 eV/atom

a b c (Å): 5.440 5.440 5.440
angles (deg): 45.70 45.70 45.70
Sites, in units of the cell vectors:
Zn: 0.000 0.000 0.000
Zn: 0.184 0.184 0.184
Ge: 0.407 0.407 0.407
Au: 0.592 0.592 0.592


Record 2
Density functional theory data (GGA-PBE) for a relaxed TlCrCo2N crystal.

Output
Mass density ... 10.7 Mg/m³
Crystal system ... tetragonal
V ... 60 Å³/cell
Space-group type ... P4/mmm (123)
Calculated total energy ... -6.785 eV/atom

a b c (Å): 3.953 3.953 3.857
angles (deg): 90.00 90.00 90.00
Sites, in units of the cell vectors:
Tl: 0.000 0.000 0.000
Cr: 0.500 0.500 0.000
Co: 0.000 0.500 0.500
Co: 0.500 0.000 0.500
N: 0.500 0.500 0.500


Record 3
Density functional theory data (GGA-PBE) for a relaxed Ba2Ga7Hg crystal.

Output
ΔH_f (0 K) ... -0.42 eV per atom
Mass density ... 6.7 Mg/m³
Crystal system ... tetragonal
V ... 240 Å³/cell
Space-group type ... P-4m2 (115)
Calculated total energy ... -2.956 eV/atom

a b c (Å): 4.681 4.681 10.940
angles (deg): 90.00 90.00 90.00
Sites, in units of the cell vectors:
Ba: 0.000 0.500 0.244
Ba: 0.500 0.000 0.756
Ga: 0.000 0.000 0.000
Ga: 0.000 0.500 0.634
Ga: 0.000 0.500 0.874
Ga: 0.500 0.000 0.126
Ga: 0.500 0.000 0.366
Ga: 0.500 0.500 0.000
Ga: 0.500 0.500 0.500
Hg: 0.000 0.000 0.500


Record 4
Density functional theory data (GGA-PBE) for a relaxed Ba2HoRe2N6 crystal.

Output
Mass density ... 7.4 Mg/m³
Crystal system ... monoclinic
V ... 202 Å³/cell
Space-group type ... C2/m (12)
Calculated total energy ... -8.344 eV/atom

a b c (Å): 6.236 6.236 7.279
angles (deg): 118.77 118.77 59.15
Sites, in units of the cell vectors:
Ba: 0.215 0.215 0.191
Ba: 0.785 0.785 0.809
Ho: 0.000 0.000 0.500
Re: 0.460 0.460 0.796
Re: 0.540 0.540 0.204
N: 0.214 0.698 0.234
N: 0.261 0.261 0.646
N: 0.302 0.786 0.766
N: 0.698 0.214 0.234
N: 0.739 0.739 0.354
N: 0.786 0.302 0.766


Record 5
Density functional theory data (GGA-PBE) for a relaxed SmY3Er crystal.

Output
ΔH_f (0 K) ... 0.30 eV per atom
Mass density ... 5.5 Mg/m³
Crystal system ... monoclinic
Relative energy among the computed polymorphs ... 0.295 eV per atom
V ... 350 Å³/cell
Space-group type ... P2_1/m (11)
Calculated total energy ... -5.434 eV/atom

a b c (Å): 3.627 11.644 8.470
angles (deg): 90.00 101.89 90.00
Sites, in units of the cell vectors:
Sm: 0.075 0.250 0.486
Sm: 0.925 0.750 0.514
Y: 0.158 0.001 0.806
Y: 0.158 0.499 0.806
Y: 0.348 0.250 0.140
Y: 0.652 0.750 0.860
Y: 0.842 0.501 0.194
Y: 0.842 0.999 0.194
Er: 0.307 0.750 0.178
Er: 0.693 0.250 0.822


Record 6
Density functional theory data (GGA-PBE) for a relaxed TmPaPd6 crystal.

Output
ΔH_f (0 K) ... -0.90 eV per atom
Mass density ... 12.3 Mg/m³
Crystal system ... tetragonal
V ... 140 Å³/cell
Space-group type ... P4/mmm (123)
Calculated total energy ... -6.537 eV/atom

a b c (Å): 4.122 4.122 8.229
angles (deg): 90.00 90.00 90.00
Sites, in units of the cell vectors:
Tm: 0.000 0.000 0.000
Pa: 0.000 0.000 0.500
Pd: 0.000 0.500 0.254
Pd: 0.000 0.500 0.746
Pd: 0.500 0.000 0.254
Pd: 0.500 0.000 0.746
Pd: 0.500 0.500 0.000
Pd: 0.500 0.500 0.500


> Among the records above, which one has the highest V?

SmY3Er


Please write out number 6 again, unchanged.
Density functional theory data (GGA-PBE) for a relaxed TmPaPd6 crystal.

Output
ΔH_f (0 K) ... -0.90 eV per atom
Mass density ... 12.3 Mg/m³
Crystal system ... tetragonal
V ... 140 Å³/cell
Space-group type ... P4/mmm (123)
Calculated total energy ... -6.537 eV/atom

a b c (Å): 4.122 4.122 8.229
angles (deg): 90.00 90.00 90.00
Sites, in units of the cell vectors:
Tm: 0.000 0.000 0.000
Pa: 0.000 0.000 0.500
Pd: 0.000 0.500 0.254
Pd: 0.000 0.500 0.746
Pd: 0.500 0.000 0.254
Pd: 0.500 0.000 0.746
Pd: 0.500 0.500 0.000
Pd: 0.500 0.500 0.500